A.
First-principles (PBE-GGA) data for a relaxed structure of CaRePt, as listed in Alexandria.

Structure (extended XYZ):
```
3
Lattice="4.559 0.000 0.000 2.280 3.948 0.000 2.280 1.316 3.722" Properties=species:S:1:pos:R:3 pbc="T T T"
Pt 0.000 0.000 0.000
Ca 6.839 3.948 2.792
Re 4.559 2.632 1.861
```

## Properties
The volume comes out at 22.33 A^3/atom. Its space group is F-43m.

B.
First-principles (PBE-GGA) data for a relaxed structure of CaRePt, as listed in Alexandria.

Structure (extended XYZ):
```
3
Lattice="-0.608 -4.092 -2.330 1.225 -0.040 4.587 -2.687 -0.009 0.718" Properties=species:S:1:pos:R:3 pbc="T T T"
Re -1.341 -2.746 0.334
Pt -0.730 -1.395 2.640
Ca -2.686 -0.009 0.718
```

## Properties
The volume comes out at 18.10 A^3/atom. Its space group is P-6m2.

Top of the stability list: B, leading by 1189 meV per atom.

A.
First-principles (PBE-GGA) data for a relaxed structure of Pr2Tm3Ga4, as listed in Alexandria.

Structure (extended XYZ):
```
18
Lattice="-3.865 3.568 -4.342 -4.456 -6.977 -1.766 -3.168 -0.038 8.145" Properties=species:S:1:pos:R:3 pbc="T T T"
Pr -7.110 -4.257 -2.526
Pr -3.672 -3.683 0.242
Pr -4.379 0.810 4.563
Pr -7.817 0.236 1.795
Tm -7.187 -3.355 0.962
Tm -5.255 -5.139 3.133
Tm -4.160 -1.704 -3.054
Tm -6.234 1.692 -1.096
Tm -4.302 -0.092 1.075
Tm 0.000 0.000 0.000
Ga -5.279 -2.087 2.984
Ga -5.358 2.599 1.547
Ga -7.081 -4.514 5.272
Ga -9.013 -2.730 3.100
Ga -4.409 1.067 -3.235
Ga -6.210 -1.360 -0.947
Ga -6.131 -6.046 0.490
Ga -2.476 -0.717 -1.063
```

## Properties
The volume comes out at 25.81 A^3/atom. Its space group is Cmce.

B.
First-principles (PBE-GGA) data for a relaxed structure of Pr2Tm3Ga4, as listed in Alexandria.

Structure (extended XYZ):
```
18
Lattice="-1.111 7.016 -2.747 -6.831 -3.966 -0.844 -2.316 2.455 7.206" Properties=species:S:1:pos:R:3 pbc="T T T"
Pr -1.810 0.204 0.918
Pr -2.696 4.063 0.573
Pr -8.448 5.300 2.696
Pr -7.562 1.441 3.041
Ga -7.060 0.856 -2.281
Ga -7.515 -1.581 2.236
Ga -2.743 7.085 1.378
Ga -4.689 1.609 1.294
Ga -4.637 4.473 -1.971
Ga -3.198 4.648 5.895
Ga -5.621 1.031 5.585
Ga -5.569 3.895 2.320
Tm -3.971 1.525 -1.796
Tm -5.849 -0.815 -0.060
Tm -3.509 2.446 3.974
Tm -4.409 6.320 3.674
Tm -4.574 -0.756 3.181
Tm -6.749 3.058 -0.360
```

## Properties
The volume comes out at 25.54 A^3/atom. Its space group is P2_1/c.

Top of the stability list: B, leading by 149 meV per atom.

A.
First-principles (PBE-GGA) data for a relaxed structure of ScTcPb2, as listed in Alexandria.

Structure (extended XYZ):
```
4
Lattice="4.791 -0.074 0.000 -0.441 4.771 0.000 0.000 0.000 3.749" Properties=species:S:1:pos:R:3 pbc="T T T"
Pb 0.000 0.000 0.000
Pb 2.175 2.349 0.000
Tc -0.221 2.386 1.875
Sc 2.395 -0.037 1.875
```

## Properties
The volume comes out at 21.39 A^3/atom. Its space group is Cmmm.

B.
First-principles (PBE-GGA) data for a relaxed structure of ScTcPb2, as listed in Alexandria.

Structure (extended XYZ):
```
4
Lattice="-0.681 3.169 1.263 -3.290 -0.269 -1.098 -1.974 -3.082 6.669" Properties=species:S:1:pos:R:3 pbc="T T T"
Tc -3.419 -0.789 4.928
Pb -2.548 0.572 1.982
Pb -1.859 -2.902 6.280
Sc -1.079 -1.685 3.647
```

## Properties
The volume comes out at 23.02 A^3/atom. Its space group is P4mm.

Top of the stability list: B, leading by 209 meV per atom.

A.
First-principles (PBE-GGA) data for a relaxed structure of Ni2AgCl, as listed in Alexandria.

Structure (extended XYZ):
```
4
Lattice="2.943 0.000 0.000 0.000 2.943 0.000 0.000 0.000 6.593" Properties=species:S:1:pos:R:3 pbc="T T T"
Ag 1.472 1.472 1.648
Ni 0.000 0.000 6.481
Ni 0.000 0.000 3.409
Cl 1.472 1.472 4.945
```

## Properties
The volume comes out at 14.28 A^3/atom. Its space group is P4/mmm.

B.
First-principles (PBE-GGA) data for a relaxed structure of Ni2AgCl, as listed in Alexandria.

Structure (extended XYZ):
```
4
Lattice="2.920 0.000 0.000 0.000 4.788 0.000 0.000 0.000 4.339" Properties=species:S:1:pos:R:3 pbc="T T T"
Cl 0.000 2.394 2.170
Ni 0.000 0.000 0.000
Ni 1.460 2.394 0.000
Ag 1.460 0.000 2.170
```

## Properties
The volume comes out at 15.17 A^3/atom. Its space group is Pmmm.

Top of the stability list: A, leading by 198 meV per atom.